[1]
# PmPrIrCl

An optimized crystal structure of PmPrIrCl (PBE, Alexandria).

Lattice parameters (Å, degrees): 4.1251 4.1245 8.0550 90.03 104.83 120.00
With the nearest neighbours (Å) after each atom.
Element x y z (fractional)
Pm 0.1041 0.9500 0.0696  3 Ir 2.82
Ir 0.3066 0.5511 0.8733  3 Pm 2.82, 3 Pr 2.85
Cl 0.9624 0.3797 0.3561  3 Pm 3.24-3.25, 3 Pr 3.39-3.40
Pr 0.5048 0.1500 0.6706  3 Ir 2.85

Output
final energy: -24.872 eV per cell
total magnetization: 0.00 μB/f.u.
SG: R3m, No. 160
V: 113.4 Å³/f.u.



[2]
# Pm6Ir2PtCl3

An optimized crystal structure of Pm6Ir2PtCl3 (PBE, Alexandria).

Lattice parameters (Å, degrees): 7.1561 7.1561 7.8455 98.73 98.73 120.01
With the nearest neighbours (Å) after each atom.
Element x y z (fractional)
Pm 0.7267 0.7267 0.2038  2 Ir 2.81, 1 Pt 2.88
Pm 0.0681 0.4090 0.2041  2 Ir 2.81, 1 Pt 2.88
Pm 0.2733 0.2733 0.7962  2 Ir 2.81, 1 Pt 2.88
Pm 0.9319 0.5910 0.7959  2 Ir 2.81, 1 Pt 2.88
Pm 0.4090 0.0681 0.2041  2 Ir 2.81, 1 Pt 2.88
Pm 0.5910 0.9319 0.7959  2 Ir 2.81, 1 Pt 2.88
Pt 0.0000 0.0000 0.0000  6 Pm 2.88
Cl 0.5000 0.5000 0.5000  6 Pm 3.21-3.27
Cl 0.8291 0.1709 0.5000  6 Pm 3.18-3.31
Cl 0.1709 0.8291 0.5000  6 Pm 3.18-3.31
Ir 0.3335 0.6665 0.0000  6 Pm 2.81
Ir 0.6665 0.3335 0.0000  6 Pm 2.81

Output
final energy: -72.942 eV per cell
total magnetization: 0.00 μB/f.u.
SG: C2/m, No. 12
V: 331.5 Å³/f.u.



[3]
# Pm4IrPtCl2

An optimized crystal structure of Pm4IrPtCl2 (PBE, Alexandria).

Lattice parameters (Å, degrees): 4.1387 7.8431 7.1986 71.79 90.00 90.00
With the nearest neighbours (Å) after each atom.
Element x y z (fractional)
Pm 0.5000 0.7040 0.2685  2 Ir 2.82, 1 Pt 2.87
Pm 0.5000 0.2960 0.7315  2 Ir 2.82, 1 Pt 2.87
Pm 0.0000 0.7045 0.7564  1 Ir 2.80, 2 Pt 2.86
Pm 0.0000 0.2955 0.2436  1 Ir 2.80, 2 Pt 2.86
Cl 0.5000 0.0000 0.5000  6 Pm 3.22-3.25
Cl 0.0000 0.0000 0.0000  6 Pm 3.26-3.31
Pt 0.5000 0.5000 0.0000  6 Pm 2.86-2.87
Ir 0.0000 0.5000 0.5000  6 Pm 2.80-2.82

Output
final energy: -47.860 eV per cell
total magnetization: 0.00 μB/f.u.
SG: P2/m, No. 10
V: 222.0 Å³/f.u.